{"formula": "BaPa6Se8", "functional": "PBE-GGA", "state": "relaxed", "raw_formation_energy_ev_per_atom": -1.059, "sg": "R-3 (148)", "mass_density_g_cm3": 7.98, "crystal_system": "trigonal", "magnetic_moment_mub_per_cell": 0.01, "final_energy_ev_per_fu": -102.7, "lattice": [[5.432, 3.136, 4.386], [-5.432, 3.136, 4.386], [0.000, -6.272, 4.386]], "species": ["Ba", "Pa", "Pa", "Pa", "Pa", "Pa", "Pa", "Se", "Se", "Se", "Se", "Se", "Se", "Se", "Se"], "fractional_positions": [[0.000, 0.000, 0.000], [0.220, 0.589, 0.460], [0.411, 0.540, 0.780], [0.460, 0.220, 0.589], [0.540, 0.780, 0.411], [0.589, 0.460, 0.220], [0.780, 0.411, 0.540], [0.096, 0.343, 0.734], [0.266, 0.904, 0.657], [0.267, 0.267, 0.267], [0.343, 0.734, 0.096], [0.657, 0.266, 0.904], [0.733, 0.733, 0.733], [0.734, 0.096, 0.343], [0.904, 0.657, 0.266]]}